## KCu2Ir (GGA-PBE)

Data for KCu2Ir after structural relaxation.

CIF file:
```
data_KCu2Ir
_cell_length_a 3.2032
_cell_length_b 3.2032
_cell_length_c 7.3547
_cell_angle_alpha 90.00
_cell_angle_beta 90.00
_cell_angle_gamma 90.00
_symmetry_space_group_name_H-M 'P 4/m m m'
_symmetry_Int_Tables_number 123
_symmetry_space_group_name_Hall '-P 4 2'
loop_
_atom_site_label
_atom_site_fract_x
_atom_site_fract_y
_atom_site_fract_z
K1 0.0000 0.0000 0.0000
Cu1 0.5000 0.5000 0.3335
Ir1 0.0000 0.0000 0.5000
```

Energy of formation from the pure elements in meV per atom: 445
ΔE to the lowest computed polymorph in eV/atom: 0.114

***

## NiOs3Br (GGA-PBE)

Data for NiOs3Br after structural relaxation.

CIF file:
```
data_NiOs3Br
_cell_length_a 4.5737
_cell_length_b 4.5737
_cell_length_c 4.5737
_cell_angle_alpha 90.00
_cell_angle_beta 90.00
_cell_angle_gamma 90.00
_symmetry_space_group_name_H-M 'P m -3 m'
_symmetry_Int_Tables_number 221
_symmetry_space_group_name_Hall '-P 4 2 3'
loop_
_atom_site_label
_atom_site_fract_x
_atom_site_fract_y
_atom_site_fract_z
Ni1 0.0000 0.0000 0.0000
Os1 0.0000 0.0000 0.5000
Br1 0.5000 0.5000 0.5000
```

ΔE to the lowest computed polymorph in eV/atom: 0.000
Formation energy from raw total energies in eV/atom: 2.37